(1)
The following is a DFT calculation (GGA-PBE) of crystalline La2GeRu at its relaxed geometry.

CIF file:
```
data_La2GeRu
_chemical_formula_sum 'La8 Ge4 Ru4'
_space_group_name_H-M_alt 'I -4 2 d'
_space_group_IT_number 122
_space_group_name_Hall 'I -4 2bw'
_cell_length_a 7.9869
_cell_length_b 7.9869
_cell_length_c 6.3845
_cell_angle_alpha 90.00
_cell_angle_beta 90.00
_cell_angle_gamma 90.00
loop_
_atom_site_label
_atom_site_fract_x
_atom_site_fract_y
_atom_site_fract_z
_atom_site_occupancy
La1 0.2001 0.2500 0.1250 1
Ge1 0.0000 0.0000 0.5000 1
Ru1 0.0000 0.0000 0.0000 1
```

Properties
* crystal system: tetragonal

***

(2)
The following is a DFT calculation (GGA-PBE) of crystalline LaGeRu2 at its relaxed geometry.

CIF file:
```
data_LaGeRu2
_chemical_formula_sum 'La2 Ge2 Ru4'
_space_group_name_H-M_alt 'P 1'
_space_group_IT_number 1
_space_group_name_Hall 'P 1'
_cell_length_a 5.1009
_cell_length_b 5.7759
_cell_length_c 6.4010
_cell_angle_alpha 107.95
_cell_angle_beta 97.94
_cell_angle_gamma 114.14
loop_
_atom_site_label
_atom_site_fract_x
_atom_site_fract_y
_atom_site_fract_z
_atom_site_occupancy
La1 0.0000 0.0000 0.0000 1
La2 0.2066 0.7442 0.4829 1
Ge1 0.7130 0.3803 0.9483 1
Ge2 0.9103 0.1609 0.5200 1
Ru1 0.2574 0.5343 0.9053 1
Ru2 0.4847 0.3611 0.5752 1
Ru3 0.5517 0.0710 0.1646 1
Ru4 0.6136 0.6410 0.2976 1
```

Properties
* crystal system: triclinic

***

(3)
The following is a DFT calculation (GGA-PBE) of crystalline LaGeRu2 at its relaxed geometry.

CIF file:
```
data_LaGeRu2
_chemical_formula_sum 'La2 Ge2 Ru4'
_space_group_name_H-M_alt 'P -1'
_space_group_IT_number 2
_space_group_name_Hall '-P 1'
_cell_length_a 5.2355
_cell_length_b 5.8588
_cell_length_c 6.1982
_cell_angle_alpha 108.42
_cell_angle_beta 95.30
_cell_angle_gamma 115.40
loop_
_atom_site_label
_atom_site_fract_x
_atom_site_fract_y
_atom_site_fract_z
_atom_site_occupancy
La1 0.1143 0.3692 0.2455 1
Ge1 0.2031 0.2325 0.7061 1
Ru1 0.3535 0.9829 0.3313 1
Ru2 0.4858 0.7523 0.9497 1
```

Properties
* crystal system: triclinic

***

(4)
The following is a DFT calculation (GGA-PBE) of crystalline La3GeRu2 at its relaxed geometry.

CIF file:
```
data_La3GeRu2
_chemical_formula_sum 'La12 Ge4 Ru8'
_space_group_name_H-M_alt 'P 1 21/c 1'
_space_group_IT_number 14
_space_group_name_Hall '-P 2ybc'
_cell_length_a 7.0417
_cell_length_b 9.1358
_cell_length_c 10.4012
_cell_angle_alpha 90.00
_cell_angle_beta 114.12
_cell_angle_gamma 90.00
loop_
_atom_site_label
_atom_site_fract_x
_atom_site_fract_y
_atom_site_fract_z
_atom_site_occupancy
La1 0.1895 0.1502 0.0113 1
La2 0.2206 0.5137 0.1918 1
La3 0.2962 0.6134 0.8258 1
Ge1 0.4389 0.2180 0.3378 1
Ru1 0.0284 0.1771 0.2312 1
Ru2 0.3414 0.5976 0.4918 1
```

Properties
* crystal system: monoclinic

***

Summary of ΔE_f in eV per atom
-0.22 -0.32 -0.35 -0.39
(order as listed above)